Computed, not measured: CeBiRh3 after structural relaxation at the PBE level of DFT.

abc: 4.8405 5.8542 7.1086
angles: 90.00 98.95 90.00
Element x y z (fractional)
Ce 0.1680 0.2500 0.1363
Ce 0.8320 0.7500 0.8637
Bi 0.1331 0.7500 0.3850
Bi 0.8669 0.2500 0.6150
Rh 0.3068 0.7500 0.0140
Rh 0.3869 0.9996 0.6922
Rh 0.3869 0.5004 0.6922
Rh 0.6131 0.0004 0.3078
Rh 0.6131 0.4996 0.3078
Rh 0.6932 0.2500 0.9860

total magnetization	0.0	μB per formula unit
density of states at the Fermi level	0.67	states/eV/atom
symmetry	P2_1/m, No. 11
DFT formation energy	-0.4610	eV/atom



Computed, not measured: UReB after structural relaxation at the PBE level of DFT.

abc: 6.6242 6.6242 4.4089
angles: 90.00 90.00 153.73
Element x y z (fractional)
U 0.0516 0.9484 0.7500
U 0.9484 0.0516 0.2500
Re 0.2585 0.7415 0.2500
Re 0.7415 0.2585 0.7500
B 0.3675 0.6325 0.7500
B 0.6325 0.3675 0.2500

total magnetization	0.0	μB per formula unit
density of states at the Fermi level	0.89	states/eV/atom
energy above the lowest structure with this stoichiometry	3.70	kcal/mol of atoms
symmetry	Cmcm, No. 63
DFT formation energy	-0.0401	eV/atom



Computed, not measured: PmPr2Dy3 after structural relaxation at the PBE level of DFT.

abc: 8.9820 8.9820 10.2499
angles: 122.31 122.31 36.43
Element x y z (fractional)
Pm 0.1349 0.1349 0.1443
Pm 0.8651 0.8651 0.8557
Pr 0.2251 0.2251 0.8679
Pr 0.4853 0.4853 0.1369
Pr 0.5147 0.5147 0.8631
Pr 0.7749 0.7749 0.1321
Dy 0.0513 0.0513 0.3997
Dy 0.2957 0.2957 0.5781
Dy 0.3889 0.3889 0.3466
Dy 0.6111 0.6111 0.6534
Dy 0.7043 0.7043 0.4219
Dy 0.9487 0.9487 0.6003

total magnetization	0.0	μB per formula unit
density of states at the Fermi level	1.59	states/eV/atom
energy above the lowest structure with this stoichiometry	0.00	kcal/mol of atoms
symmetry	C2/m, No. 12
DFT formation energy	0.0980	eV/atom



Computed, not measured: CsZnCdSb2 after structural relaxation at the PBE level of DFT.

abc: 9.1408 9.1408 9.1408
angles: 152.00 152.00 40.01
Element x y z (fractional)
Cs 0.0000 0.0000 0.0000
Zn 0.7500 0.2500 0.5000
Cd 0.2500 0.7500 0.5000
Sb 0.3560 0.3560 0.0000
Sb 0.6440 0.6440 0.0000

formation energy (no corrections)	-228	meV per atom
total magnetization	0.0	μB per formula unit
density of states at the Fermi level	0.59	states/eV/atom
symmetry	I-4m2, No. 119



Computed, not measured: SrTl2VSn after structural relaxation at the PBE level of DFT.

abc: 5.8146 5.8146 5.2970
angles: 90.00 90.00 90.00
Element x y z (fractional)
Sr 0.0000 0.0000 0.0000
Tl 0.0000 0.5000 0.5000
Tl 0.5000 0.0000 0.5000
V 0.5000 0.5000 0.0000
Sn 0.5000 0.5000 0.5000

total magnetization	4.0	μB per formula unit
density of states at the Fermi level	1.25	states/eV/atom
symmetry	P4/mmm, No. 123
DFT formation energy	0.4886	eV/atom



Computed, not measured: HoCuBr after structural relaxation at the PBE level of DFT.

abc: 3.8412 3.8412 12.6298
angles: 98.85 98.85 60.01
Element x y z (fractional)
Ho 0.1025 0.1025 0.3101
Ho 0.8975 0.8975 0.6899
Cu 0.1830 0.1830 0.5483
Cu 0.8170 0.8170 0.4517
Br 0.3841 0.3841 0.1564
Br 0.6159 0.6159 0.8436

formation energy (no corrections)	-813	meV per atom
total magnetization	0.0	μB per formula unit
density of states at the Fermi level	0.39	states/eV/atom
symmetry	C2/m, No. 12



Computed, not measured: InPbO3 after structural relaxation at the PBE level of DFT.

abc: 6.1483 6.1483 6.1483
angles: 56.27 56.27 56.27
Element x y z (fractional)
In 0.1486 0.1486 0.1486
In 0.8514 0.8514 0.8514
Pb 0.3639 0.3639 0.3639
Pb 0.6361 0.6361 0.6361
O 0.0377 0.4504 0.7747
O 0.2253 0.9623 0.5496
O 0.4504 0.7747 0.0377
O 0.5496 0.2253 0.9623
O 0.7747 0.0377 0.4504
O 0.9623 0.5496 0.2253

formation energy (no corrections)	-1178	meV per atom
total magnetization	0.0	μB per formula unit
density of states at the Fermi level	0.61	states/eV/atom
symmetry	R-3, No. 148



Computed, not measured: Cs4ClF3 after structural relaxation at the PBE level of DFT.

abc: 7.7718 7.7718 7.7718
angles: 130.54 130.54 72.55
Element x y z (fractional)
Cs 0.0000 0.5000 0.5000
Cs 0.2291 0.2291 0.0000
Cs 0.5000 0.0000 0.5000
Cs 0.7709 0.7709 0.0000
Cl 0.5000 0.5000 0.0000
F 0.0000 0.0000 0.0000
F 0.2500 0.7500 0.5000
F 0.7500 0.2500 0.5000

formation energy (no corrections)	-2428	meV per atom
total magnetization	0.2	μB per formula unit
density of states at the Fermi level	0.00	states/eV/atom
symmetry	I4/mmm, No. 139